Crystalline Cs5Rb3O2 at its relaxed geometry. Source: the Alexandria database, functional PBE.

Calculated values
Its energy above the most stable polymorph in this dataset is 21 kJ/mol of formula units.

a = 16.5269 Å, b = 21.2681 Å, c = 8.2074 Å
α = 90.00°, β = 90.00°, γ = 90.00°
Space group Ibam (No. 72)
Asymmetric unit:
Cs 0.0000 0.0000 0.2500 (multiplicity 4)
Cs 0.0000 0.3269 0.2500 (multiplicity 8)
Cs 0.2070 0.4229 0.0000 (multiplicity 8)
Rb 0.0000 0.5000 0.2500 (multiplicity 4)
Rb 0.1860 0.1812 0.0000 (multiplicity 8)
O 0.0548 0.4053 0.0000 (multiplicity 8)

Crystalline Cs2RbO6 at its relaxed geometry. Source: the Alexandria database, functional PBE.

Calculated values
Its energy above the most stable polymorph in this dataset is 0 kJ/mol of formula units.

a = 4.2150 Å, b = 8.0649 Å, c = 11.5933 Å
α = 90.00°, β = 90.00°, γ = 90.00°
Space group Immm (No. 71)
Asymmetric unit:
Cs 0.0000 0.0000 0.1869 (multiplicity 4)
Rb 0.0000 0.5000 0.0000 (multiplicity 2)
O 0.0000 0.2256 0.3972 (multiplicity 8)
O 0.0000 0.3223 0.5000 (multiplicity 4)

Crystalline Cs3Rb4O at its relaxed geometry. Source: the Alexandria database, functional PBE.

Calculated values
Its energy above the most stable polymorph in this dataset is 0 kJ/mol of formula units.

a = 10.9053 Å, b = 9.9895 Å, c = 12.1519 Å
α = 90.00°, β = 90.00°, γ = 90.00°
Space group Pmn2_1 (No. 31)
Asymmetric unit:
Cs 0.0000 0.0019 0.0000 (multiplicity 2)
Cs 0.1816 0.3180 0.3034 (multiplicity 4)
Rb 0.0000 0.0093 0.5951 (multiplicity 2)
Rb 0.0000 0.5074 0.5665 (multiplicity 2)
Rb 0.1725 0.7034 0.3058 (multiplicity 4)
O 0.0000 0.5066 0.3485 (multiplicity 2)

Crystalline Cs7RbO2 at its relaxed geometry. Source: the Alexandria database, functional PBE.

Calculated values
Its energy above the most stable polymorph in this dataset is 7 kJ/mol of formula units.

a = 8.8226 Å, b = 24.9172 Å, c = 6.0360 Å
α = 90.00°, β = 90.00°, γ = 90.00°
Space group Cmmm (No. 65)
Asymmetric unit:
Cs 0.0000 0.0000 0.0000 (multiplicity 2)
Cs 0.0000 0.2286 0.5000 (multiplicity 4)
Cs 0.2296 0.3273 0.0000 (multiplicity 8)
Rb 0.0000 0.5000 0.5000 (multiplicity 2)
O 0.0000 0.2459 0.0000 (multiplicity 4)

| no. | N(E_F) (states/eV/atom) |
| --- | --- |
| 1 | 0.35 |
| 2 | 0.48 |
| 3 | 0.67 |
| 4 | 0.62 |